Record 1
# TcSnSCl2 PBE optimized geometry
data_TcSnSCl2
_cell_length_a 4.953
_cell_length_b 4.953
_cell_length_c 4.542
_cell_angle_alpha 90.00
_cell_angle_beta 90.00
_cell_angle_gamma 90.00
_space_group_name_H-M_alt 'P 4/m m m'
_space_group_IT_number 123
_space_group_name_Hall '-P 4 2'
loop_
_atom_site_label
_atom_site_type_symbol
_atom_site_fract_x
_atom_site_fract_y
_atom_site_fract_z
_atom_site_occupancy
Tc1 Tc 0.000 0.000 0.000 1
Sn1 Sn 0.500 0.500 0.500 1
S1 S 0.000 0.000 0.500 1
Cl1 Cl 0.000 0.500 0.000 1
# DFT total energy in eV/atom: -4.4990
# M_tot in μB per atom: 0.1308
# ΔE_f (raw) in eV/f.u.: -0.31

=====

Record 2
# K2TaWI PBE optimized geometry
data_K2TaWI
_cell_length_a 6.399
_cell_length_b 6.399
_cell_length_c 5.112
_cell_angle_alpha 90.00
_cell_angle_beta 90.00
_cell_angle_gamma 90.00
_space_group_name_H-M_alt 'P 4/m m m'
_space_group_IT_number 123
_space_group_name_Hall '-P 4 2'
loop_
_atom_site_label
_atom_site_type_symbol
_atom_site_fract_x
_atom_site_fract_y
_atom_site_fract_z
_atom_site_occupancy
K1 K 0.000 0.500 0.000 1
Ta1 Ta 0.000 0.000 0.500 1
W1 W 0.500 0.500 0.500 1
I1 I 0.500 0.500 0.000 1
# DFT total energy in eV/atom: -3.5526
# M_tot in μB per atom: 1.3096
# ΔE_f (raw) in eV/f.u.: 10.79

=====

Record 3
# HfZn2Ga2 PBE optimized geometry
data_HfZn2Ga2
_cell_length_a 7.459
_cell_length_b 7.459
_cell_length_c 3.064
_cell_angle_alpha 90.00
_cell_angle_beta 90.00
_cell_angle_gamma 90.00
_space_group_name_H-M_alt 'P 4/m b m'
_space_group_IT_number 127
_space_group_name_Hall '-P 4 2ab'
loop_
_atom_site_label
_atom_site_type_symbol
_atom_site_fract_x
_atom_site_fract_y
_atom_site_fract_z
_atom_site_occupancy
Hf1 Hf 0.000 0.000 0.000 1
Zn1 Zn 0.165 0.335 0.500 1
Ga1 Ga 0.133 0.633 0.000 1
# DFT total energy in eV/atom: -3.7829
# M_tot in μB per atom: 0.0000
# Energy of formation from the pure elements in eV/atom: -0.072

=====

no.,density (g/cm³)
1,4.8
2,4.5
3,8.7